Entry 1:
TiSiSbTe2: relaxed, GGA-PBE.

Cell and atoms, written as POSCAR:
```
TiSiSbTe2
1.0
-0.093 -2.285 4.654
-0.413 -4.637 -2.284
5.131 -0.409 -0.098
Te Si Ti Sb
2 1 1 1
direct
0.500 0.000 0.000
0.000 0.500 0.000
0.000 0.000 0.000
0.500 0.500 0.500
0.000 0.000 0.500
```

Properties
ΔE_f (raw)	683.7	meV/atom
SG	P4/mmm (123)
DFT total energy	-4.0610	eV per atom

***

Entry 2:
SiB3F: relaxed, GGA-PBE.

Cell and atoms, written as POSCAR:
```
SiB3F
1.0
4.022 0.000 0.000
0.000 4.022 0.000
0.000 0.000 4.022
B F Si
3 1 1
direct
0.000 0.500 0.000
0.500 0.000 0.000
0.000 0.000 0.500
0.500 0.500 0.500
0.000 0.000 0.000
```

Properties
ΔE_f (raw)	1349.4	meV/atom
SG	Pm-3m (221)
DFT total energy	-4.1159	eV per atom

***

Number 1: DOS(E_F) 5.66 states/eV/cell, calculated volume 138 Å³/cell. Number 2: DOS(E_F) 1.67 states/eV/cell, calculated volume 65 Å³/cell.